! meta-GGA SCAN La2MgSi, PBEsol geometry; values from VASP
! Total DFT energy (no corrections)   -102.764 eV per cell
! Spin magnetization   0.00 μB/atom
! Formation energy without anion corrections   -391 meV/atom
! Space group   P4/mmm (123)
! Theoretical density   5.094 g/cm³
&SYSTEM
  ibrav = 0, nat = 4, ntyp = 3
/
ATOMIC_SPECIES
La 138.91 La.upf
Mg 24.30 Mg.upf
Si 28.09 Si.upf
CELL_PARAMETERS angstrom
3.9170 0.0000 0.0000
0.0000 3.9170 0.0000
0.0000 0.0000 7.0150
ATOMIC_POSITIONS crystal
La 0.0000 0.0000 0.2131
La 0.0000 0.0000 0.7869
Mg 0.5000 0.5000 0.5000
Si 0.5000 0.5000 0.0000

=====

! meta-GGA SCAN La6Mg23Si, PBEsol geometry; values from VASP
! Total DFT energy (no corrections)   -388.501 eV per cell
! Spin magnetization   0.03 μB/atom
! Formation energy without anion corrections   -182 meV/atom
! Space group   Fm-3m (225)
! Theoretical density   3.086 g/cm³
&SYSTEM
  ibrav = 0, nat = 30, ntyp = 3
/
ATOMIC_SPECIES
La 138.91 La.upf
Mg 24.30 Mg.upf
Si 28.09 Si.upf
CELL_PARAMETERS angstrom
0.0000 7.2572 7.2572
7.2572 0.0000 7.2572
7.2572 7.2572 0.0000
ATOMIC_POSITIONS crystal
La 0.2055 0.2055 0.7945
La 0.2055 0.7945 0.2055
La 0.2055 0.7945 0.7945
La 0.7945 0.2055 0.2055
La 0.7945 0.2055 0.7945
La 0.7945 0.7945 0.2055
Mg 0.0000 0.0000 0.5000
Mg 0.0000 0.5000 0.0000
Mg 0.0000 0.5000 0.5000
Mg 0.1346 0.6218 0.6218
Mg 0.1708 0.1708 0.1708
Mg 0.1708 0.1708 0.4877
Mg 0.1708 0.4877 0.1708
Mg 0.3782 0.3782 0.3782
Mg 0.3782 0.3782 0.8654
Mg 0.3782 0.8654 0.3782
Mg 0.4877 0.1708 0.1708
Mg 0.5000 0.0000 0.0000
Mg 0.5000 0.0000 0.5000
Mg 0.5000 0.5000 0.0000
Mg 0.5000 0.5000 0.5000
Mg 0.5123 0.8292 0.8292
Mg 0.6218 0.1346 0.6218
Mg 0.6218 0.6218 0.1346
Mg 0.6218 0.6218 0.6218
Mg 0.8292 0.5123 0.8292
Mg 0.8292 0.8292 0.5123
Mg 0.8292 0.8292 0.8292
Mg 0.8654 0.3782 0.3782
Si 0.0000 0.0000 0.0000

=====

! meta-GGA SCAN La2MgSi2, PBEsol geometry; values from VASP
! Total DFT energy (no corrections)   -229.521 eV per cell
! Spin magnetization   0.00 μB/atom
! Formation energy without anion corrections   -709 meV/atom
! Space group   P4/mbm (127)
! Theoretical density   4.858 g/cm³
&SYSTEM
  ibrav = 0, nat = 10, ntyp = 3
/
ATOMIC_SPECIES
La 138.91 La.upf
Mg 24.30 Mg.upf
Si 28.09 Si.upf
CELL_PARAMETERS angstrom
7.4444 0.0000 0.0000
0.0000 7.4444 0.0000
0.0000 0.0000 4.4193
ATOMIC_POSITIONS crystal
La 0.1799 0.3201 0.0000
La 0.3201 0.8201 0.0000
La 0.6799 0.1799 0.0000
La 0.8201 0.6799 0.0000
Mg 0.0000 0.0000 0.5000
Mg 0.5000 0.5000 0.5000
Si 0.1139 0.6139 0.5000
Si 0.3861 0.1139 0.5000
Si 0.6139 0.8861 0.5000
Si 0.8861 0.3861 0.5000

=====

! meta-GGA SCAN LaMgSi, PBEsol geometry; values from VASP
! Total DFT energy (no corrections)   -58.639 eV per cell
! Spin magnetization   0.00 μB/atom
! Formation energy without anion corrections   -181 meV/atom
! Space group   I4mm (107)
! Theoretical density   4.521 g/cm³
&SYSTEM
  ibrav = 0, nat = 3, ntyp = 3
/
ATOMIC_SPECIES
La 138.91 La.upf
Mg 24.30 Mg.upf
Si 28.09 Si.upf
CELL_PARAMETERS angstrom
-1.6981 1.6981 6.0913
1.6981 -1.6981 6.0913
1.6981 1.6981 -6.0913
ATOMIC_POSITIONS crystal
La 0.0000 0.0000 0.0000
Mg 0.2865 0.2865 0.0000
Si 0.6657 0.6657 0.0000

=====

! meta-GGA SCAN La2MgSi, PBEsol geometry; values from VASP
! Total DFT energy (no corrections)   -102.267 eV per cell
! Spin magnetization   0.00 μB/atom
! Formation energy without anion corrections   -267 meV/atom
! Space group   I-4m2 (119)
! Theoretical density   5.412 g/cm³
&SYSTEM
  ibrav = 0, nat = 4, ntyp = 3
/
ATOMIC_SPECIES
La 138.91 La.upf
Mg 24.30 Mg.upf
Si 28.09 Si.upf
CELL_PARAMETERS angstrom
-2.2608 2.2608 4.9554
2.2608 -2.2608 4.9554
2.2608 2.2608 -4.9554
ATOMIC_POSITIONS crystal
La 0.0000 0.0000 0.0000
La 0.7500 0.2500 0.5000
Mg 0.5000 0.5000 0.0000
Si 0.2500 0.7500 0.5000

=====

! meta-GGA SCAN LaMgSi2, PBEsol geometry; values from VASP
! Total DFT energy (no corrections)   -282.133 eV per cell
! Spin magnetization   0.00 μB/atom
! Formation energy without anion corrections   -606 meV/atom
! Space group   I4_1/amd (141)
! Theoretical density   4.338 g/cm³
&SYSTEM
  ibrav = 0, nat = 16, ntyp = 3
/
ATOMIC_SPECIES
La 138.91 La.upf
Mg 24.30 Mg.upf
Si 28.09 Si.upf
CELL_PARAMETERS angstrom
-2.1367 2.1367 18.3954
2.1367 -2.1367 18.3954
2.1367 2.1367 -18.3954
ATOMIC_POSITIONS crystal
La 0.2979 0.5479 0.7500
La 0.4521 0.7021 0.7500
La 0.5479 0.2979 0.2500
La 0.7021 0.4521 0.2500
Mg 0.1251 0.3751 0.7500
Mg 0.3751 0.1251 0.2500
Mg 0.6249 0.8749 0.7500
Mg 0.8749 0.6249 0.2500
Si 0.0142 0.7642 0.2500
Si 0.0773 0.8273 0.2500
Si 0.1727 0.9227 0.2500
Si 0.2358 0.9858 0.2500
Si 0.7642 0.0142 0.7500
Si 0.8273 0.0773 0.7500
Si 0.9227 0.1727 0.7500
Si 0.9858 0.2358 0.7500

=====

! meta-GGA SCAN La3MgSn, PBEsol geometry; values from VASP
! Total DFT energy (no corrections)   -168.962 eV per cell
! Spin magnetization   0.00 μB/atom
! Space group   Pm-3m (221)
! Theoretical density   5.147 g/cm³
&SYSTEM
  ibrav = 0, nat = 5, ntyp = 3
/
ATOMIC_SPECIES
La 138.91 La.upf
Mg 24.30 Mg.upf
Sn 118.71 Sn.upf
CELL_PARAMETERS angstrom
5.6524 0.0000 0.0000
0.0000 5.6524 0.0000
0.0000 0.0000 5.6524
ATOMIC_POSITIONS crystal
La 0.0000 0.0000 0.5000
La 0.0000 0.5000 0.0000
La 0.5000 0.0000 0.0000
Mg 0.0000 0.0000 0.0000
Sn 0.5000 0.5000 0.5000

=====

! meta-GGA SCAN SrLa2Mg, PBEsol geometry; values from VASP
! Total DFT energy (no corrections)   -113.013 eV per cell
! Spin magnetization   0.00 μB/atom
! Space group   I-4m2 (119)
! Theoretical density   4.703 g/cm³
&SYSTEM
  ibrav = 0, nat = 4, ntyp = 3
/
ATOMIC_SPECIES
Sr 87.62 Sr.upf
La 138.91 La.upf
Mg 24.30 Mg.upf
CELL_PARAMETERS angstrom
-2.5561 2.5561 5.2654
2.5561 -2.5561 5.2654
2.5561 2.5561 -5.2654
ATOMIC_POSITIONS crystal
Sr 0.0000 0.0000 0.0000
La 0.5000 0.5000 0.0000
La 0.7500 0.2500 0.5000
Mg 0.2500 0.7500 0.5000

=====

! meta-GGA SCAN SrLa2Mg, PBEsol geometry; values from VASP
! Total DFT energy (no corrections)   -113.210 eV per cell
! Spin magnetization   0.00 μB/atom
! Space group   P2/m (10)
! Theoretical density   4.719 g/cm³
&SYSTEM
  ibrav = 0, nat = 4, ntyp = 3
/
ATOMIC_SPECIES
Sr 87.62 Sr.upf
La 138.91 La.upf
Mg 24.30 Mg.upf
CELL_PARAMETERS angstrom
3.5794 0.0000 0.0000
0.0000 6.0710 0.0000
-0.7917 0.0000 6.3106
ATOMIC_POSITIONS crystal
Sr 0.0000 0.0000 0.0000
La 0.2713 0.5000 0.7124
La 0.7287 0.5000 0.2876
Mg 0.5000 0.0000 0.5000

=====

! meta-GGA SCAN SrLa2Mg, PBEsol geometry; values from VASP
! Total DFT energy (no corrections)   -113.419 eV per cell
! Spin magnetization   0.00 μB/atom
! Space group   Immm (71)
! Theoretical density   4.625 g/cm³
&SYSTEM
  ibrav = 0, nat = 4, ntyp = 3
/
ATOMIC_SPECIES
Sr 87.62 Sr.upf
La 138.91 La.upf
Mg 24.30 Mg.upf
CELL_PARAMETERS angstrom
-1.9013 2.9091 6.3248
1.9013 -2.9091 6.3248
1.9013 2.9091 -6.3248
ATOMIC_POSITIONS crystal
Sr 0.0000 0.0000 0.0000
La 0.2804 0.7804 0.5000
La 0.7196 0.2196 0.5000
Mg 0.5000 0.5000 0.0000

=====

! meta-GGA SCAN SrLaMg, PBEsol geometry; values from VASP
! Total DFT energy (no corrections)   -70.344 eV per cell
! Spin magnetization   0.09 μB/atom
! Space group   I4mm (107)
! Theoretical density   3.877 g/cm³
&SYSTEM
  ibrav = 0, nat = 3, ntyp = 3
/
ATOMIC_SPECIES
Sr 87.62 Sr.upf
La 138.91 La.upf
Mg 24.30 Mg.upf
CELL_PARAMETERS angstrom
-1.9516 1.9516 7.0526
1.9516 -1.9516 7.0526
1.9516 1.9516 -7.0526
ATOMIC_POSITIONS crystal
Sr 0.0000 0.0000 0.0000
La 0.2923 0.2923 0.0000
Mg 0.6568 0.6568 0.0000

=====

! meta-GGA SCAN SrLaMg4, PBEsol geometry; values from VASP
! Total DFT energy (no corrections)   -85.990 eV per cell
! Spin magnetization   0.02 μB/atom
! Space group   F-43m (216)
! Theoretical density   3.119 g/cm³
&SYSTEM
  ibrav = 0, nat = 6, ntyp = 3
/
ATOMIC_SPECIES
Sr 87.62 Sr.upf
La 138.91 La.upf
Mg 24.30 Mg.upf
CELL_PARAMETERS angstrom
0.0000 4.4171 4.4171
4.4171 0.0000 4.4171
4.4171 4.4171 0.0000
ATOMIC_POSITIONS crystal
Sr 0.0000 0.0000 0.0000
La 0.2500 0.2500 0.2500
Mg 0.1285 0.6238 0.6238
Mg 0.6238 0.1285 0.6238
Mg 0.6238 0.6238 0.1285
Mg 0.6238 0.6238 0.6238

=====

! meta-GGA SCAN SrLa2Mg, PBEsol geometry; values from VASP
! Total DFT energy (no corrections)   -113.378 eV per cell
! Spin magnetization   0.05 μB/atom
! Space group   P4/mmm (123)
! Theoretical density   4.457 g/cm³
&SYSTEM
  ibrav = 0, nat = 4, ntyp = 3
/
ATOMIC_SPECIES
Sr 87.62 Sr.upf
La 138.91 La.upf
Mg 24.30 Mg.upf
CELL_PARAMETERS angstrom
3.9909 0.0000 0.0000
0.0000 3.9909 0.0000
0.0000 0.0000 9.1164
ATOMIC_POSITIONS crystal
Sr 0.0000 0.0000 0.0000
La 0.5000 0.5000 0.3034
La 0.5000 0.5000 0.6966
Mg 0.0000 0.0000 0.5000

=====

! meta-GGA SCAN Sr2LaMg, PBEsol geometry; values from VASP
! Total DFT energy (no corrections)   -92.101 eV per cell
! Spin magnetization   0.08 μB/atom
! Space group   P2/m (10)
! Theoretical density   3.657 g/cm³
&SYSTEM
  ibrav = 0, nat = 4, ntyp = 3
/
ATOMIC_SPECIES
Sr 87.62 Sr.upf
La 138.91 La.upf
Mg 24.30 Mg.upf
CELL_PARAMETERS angstrom
3.7861 0.0000 0.0000
0.0000 5.4414 0.0000
-0.0079 0.0000 7.4603
ATOMIC_POSITIONS crystal
Sr 0.0004 0.0000 0.2411
Sr 0.9996 0.0000 0.7589
La 0.5000 0.5000 0.5000
Mg 0.5000 0.5000 0.0000